[1]
This record from the Alexandria database describes a geometry-optimized Th4In8Ni structure. The functional is PBE-GGA.

Output
Crystal system = orthorhombic
M_tot = 0.00 μB/cell
Formation enthalpy at 0 K = -0.23 eV per atom

Cell: 4.605 4.690 16.051 Å, 90.00 90.00 90.00°
Space group Pmm2 (No. 25)
One atom of each set of equivalent atoms:
Th 0.000 0.000 0.000 (multiplicity 1)
Th 0.000 0.500 0.479 (multiplicity 1)
Th 0.500 0.000 0.792 (multiplicity 1)
Th 0.500 0.500 0.307 (multiplicity 1)
In 0.000 0.000 0.317 (multiplicity 1)
In 0.000 0.000 0.626 (multiplicity 1)
In 0.000 0.500 0.153 (multiplicity 1)
In 0.000 0.500 0.850 (multiplicity 1)
In 0.500 0.000 0.156 (multiplicity 1)
In 0.500 0.000 0.471 (multiplicity 1)
In 0.500 0.500 0.626 (multiplicity 1)
In 0.500 0.500 0.968 (multiplicity 1)
Ni 0.000 0.500 0.694 (multiplicity 1)

[2]
This record from the Alexandria database describes a geometry-optimized ThInNi structure. The functional is PBE-GGA.

Output
Crystal system = hexagonal
M_tot = 0.00 μB/cell
Formation enthalpy at 0 K = -0.29 eV per atom

Cell: 4.6275 4.6275 3.6668 Å, 90.00 90.00 120.00°
Space group P-6m2 (No. 187)
One atom of each set of equivalent atoms:
Th 0.0000 0.0000 0.0000 (multiplicity 1)
In 0.3333 0.6667 0.5000 (multiplicity 1)
Ni 0.6667 0.3333 0.5000 (multiplicity 1)

[3]
This record from the Alexandria database describes a geometry-optimized ThIn2Ni9 structure. The functional is PBE-GGA.

Output
Crystal system = hexagonal
M_tot = 0.00 μB/cell
Formation enthalpy at 0 K = -0.26 eV per atom

Cell: 4.9500 4.9500 15.8263 Å, 90.00 90.00 120.00°
Space group P6_3/mmc (No. 194)
One atom of each set of equivalent atoms:
Th 0.3333 0.6667 0.2500 (multiplicity 2)
In 0.3333 0.6667 0.0362 (multiplicity 4)
Ni 0.0000 0.0000 0.0000 (multiplicity 2)
Ni 0.0000 0.0000 0.2500 (multiplicity 2)
Ni 0.1676 0.3353 0.6227 (multiplicity 12)
Ni 0.3333 0.6667 0.7500 (multiplicity 2)

[4]
This record from the Alexandria database describes a geometry-optimized Th2InNi structure. The functional is PBE-GGA.

Output
Crystal system = trigonal
Excess energy over the best structure of this formula in the dataset = 0.363 eV/atom
M_tot = 0.00 μB/cell
Formation enthalpy at 0 K = 0.08 eV per atom

Cell: 3.6437 3.6437 31.1450 Å, 90.00 90.00 120.00°
Space group R-3m (No. 166, hexagonal axes)
One atom of each set of equivalent atoms:
Th 0.0000 0.0000 0.1084 (multiplicity 6)
In 0.0000 0.0000 0.0000 (multiplicity 3)
Ni 0.0000 0.0000 0.5000 (multiplicity 3)